(1)
Below is a relaxed KCu2Ru crystal, with properties calculated at the PBE level.

Computed properties:
Relative energy among the computed polymorphs ... 0.436 eV/atom
Mass density ... 4.289 g/cm³
DOS(E_F) ... 21.0 states/eV per cell
ΔH_f (0 K) ... 970.3 meV per atom

Cell: 4.971 4.971 16.750 Å, 90.00 90.00 90.00°
Space group I4_1/amd (No. 141, origin choice 2)
Asymmetric unit:
K  0.000  0.250  0.375 (multiplicity 4)
Cu  0.000  0.000  0.000 (multiplicity 8)
Ru  0.000  0.250  0.875 (multiplicity 4)



(2)
Below is a relaxed KCuRu2 crystal, with properties calculated at the PBE level.

Computed properties:
Relative energy among the computed polymorphs ... 0.291 eV/atom
Mass density ... 7.728 g/cm³
DOS(E_F) ... 16.9 states/eV per cell
ΔH_f (0 K) ... 850.8 meV per atom

Cell: 2.7432 2.7432 30.1473 Å, 90.00 90.00 120.00°
Space group R-3m (No. 166, hexagonal axes)
Asymmetric unit:
K  0.0000  0.0000  0.0000 (multiplicity 3)
Cu  0.0000  0.0000  0.5000 (multiplicity 3)
Ru  0.0000  0.0000  0.2367 (multiplicity 6)



(3)
Below is a relaxed KCuRu2 crystal, with properties calculated at the PBE level.

Computed properties:
Relative energy among the computed polymorphs ... 0.306 eV/atom
Mass density ... 7.579 g/cm³
DOS(E_F) ... 5.2 states/eV per cell
ΔH_f (0 K) ... 866.3 meV per atom

Cell: 2.644 2.644 9.549 Å, 90.00 90.00 90.00°
Space group P4/mmm (No. 123)
Asymmetric unit:
K  0.000  0.000  0.000 (multiplicity 1)
Cu  0.000  0.000  0.500 (multiplicity 1)
Ru  0.500  0.500  0.299 (multiplicity 2)



(4)
Below is a relaxed KCu3Ru crystal, with properties calculated at the PBE level.

Computed properties:
Relative energy among the computed polymorphs ... 1.313 eV/atom
Mass density ... 5.536 g/cm³
DOS(E_F) ... 4.6 states/eV per cell
ΔH_f (0 K) ... 2169.4 meV per atom

Cell: 4.630 4.630 4.630 Å, 90.00 90.00 90.00°
Space group Pm-3m (No. 221)
Asymmetric unit:
K  0.000  0.000  0.000 (multiplicity 1)
Cu  0.000  0.000  0.500 (multiplicity 3)
Ru  0.500  0.500  0.500 (multiplicity 1)



(5)
Below is a relaxed KCuRu2 crystal, with properties calculated at the PBE level.

Computed properties:
Relative energy among the computed polymorphs ... 0.000 eV/atom
Mass density ... 6.491 g/cm³
DOS(E_F) ... 2.4 states/eV per cell
ΔH_f (0 K) ... 560.0 meV per atom

Cell: 2.760 3.643 7.755 Å, 90.00 90.20 90.00°
Space group Pm (No. 6)
Asymmetric unit:
K  0.000  0.000  0.000 (multiplicity 1)
Cu  0.496  0.500  0.322 (multiplicity 1)
Ru  0.499  0.500  0.653 (multiplicity 1)
Ru  0.997  0.000  0.507 (multiplicity 1)



(6)
Below is a relaxed KCu2Ru crystal, with properties calculated at the PBE level.

Computed properties:
Relative energy among the computed polymorphs ... 0.590 eV/atom
Mass density ... 6.477 g/cm³
DOS(E_F) ... 11.0 states/eV per cell
ΔH_f (0 K) ... 1124.6 meV per atom

Cell: 3.921 3.921 8.913 Å, 90.00 90.00 90.00°
Space group I-4m2 (No. 119)
Asymmetric unit:
K  0.000  0.000  0.000 (multiplicity 2)
Cu  0.000  0.000  0.500 (multiplicity 2)
Cu  0.000  0.500  0.250 (multiplicity 2)
Ru  0.000  0.500  0.750 (multiplicity 2)